No. 1
NaPmNiAu: optimized geometry, GGA-PBE.

abc: 4.9454 4.9454 4.9454
angles: 60.00 60.00 60.00
Closest atoms and distances in Å follow each position.
Fractional positions:
1 Na 0.0000 0.0000 0.0000  4 Au 3.03, 4 Ni 3.03
2 Pm 0.5000 0.5000 0.5000  4 Au 3.03, 4 Ni 3.03
3 Ni 0.2500 0.2500 0.2500  4 Na 3.03, 4 Pm 3.03
4 Au 0.7500 0.7500 0.7500  4 Na 3.03, 4 Pm 3.03

Results
The space group is F-43m (216). As for the calculated total energy: -0.29257 Ry per atom.

=====

No. 2
NaReNi2Au: optimized geometry, GGA-PBE.

abc: 4.2860 4.2860 4.6154
angles: 90.00 90.00 90.00
Closest atoms and distances in Å follow each position.
Fractional positions:
1 Na 0.0000 0.0000 0.0000  4 Ni 2.14, 2 Au 2.31
2 Re 0.5000 0.5000 0.5000  4 Au 3.03, 8 Ni 3.15
3 Ni 0.0000 0.5000 0.0000  2 Na 2.14
4 Ni 0.5000 0.0000 0.0000  2 Na 2.14
5 Au 0.0000 0.0000 0.5000  2 Na 2.31

Results
The space group is P4/mmm (123). As for the calculated total energy: -0.28279 Ry per atom.

=====

No. 3
NaNpAu2: optimized geometry, GGA-PBE.

abc: 3.2935 3.2935 8.2724
angles: 90.00 90.00 90.00
Closest atoms and distances in Å follow each position.
Fractional positions:
1 Na 0.0000 0.0000 0.0000  8 Au 3.13, 4 Na 3.29
2 Np 0.0000 0.0000 0.5000  8 Au 3.10, 4 Np 3.29
3 Au 0.5000 0.5000 0.2526  4 Np 3.10, 4 Na 3.13, 4 Au 3.29
4 Au 0.5000 0.5000 0.7474  4 Np 3.10, 4 Na 3.13, 4 Au 3.29

Results
The space group is P4/mmm (123). As for the calculated total energy: -0.39337 Ry per atom.

=====

No. 4
NaNpAu2: optimized geometry, GGA-PBE.

abc: 5.4786 5.4786 2.9511
angles: 90.00 90.00 90.00
Closest atoms and distances in Å follow each position.
Fractional positions:
1 Na 0.0000 0.0000 0.0000  2 Na 2.95, 8 Au 3.11
2 Np 0.5000 0.5000 0.0000  2 Np 2.95, 8 Au 3.11
3 Au 0.0000 0.5000 0.5000  2 Au 2.95, 4 Np 3.11, 4 Na 3.11
4 Au 0.5000 0.0000 0.5000  2 Au 2.95, 4 Np 3.11, 4 Na 3.11

Results
The space group is P4/mmm (123). As for the calculated total energy: -0.39527 Ry per atom.

=====

No. 5
NaNp2Au6: optimized geometry, GGA-PBE.

abc: 8.5215 8.5215 2.9608
angles: 90.00 90.00 120.00
Closest atoms and distances in Å follow each position.
Fractional positions:
1 Na 0.0000 0.0000 0.0000  2 Na 2.96, 12 Au 3.19
2 Np 0.3333 0.6667 0.0000  2 Np 2.96, 12 Au 3.21
3 Np 0.6667 0.3333 0.0000  2 Np 2.96, 12 Au 3.21
4 Au 0.0000 0.3312 0.5000  5 Au 2.82-2.96
5 Au 0.0000 0.6688 0.5000  5 Au 2.82-2.96
6 Au 0.3312 0.0000 0.5000  5 Au 2.82-2.96
7 Au 0.3312 0.3312 0.5000  5 Au 2.82-2.96
8 Au 0.6688 0.0000 0.5000  5 Au 2.82-2.96
9 Au 0.6688 0.6688 0.5000  5 Au 2.82-2.96

Results
The space group is P6/mmm (191). As for the calculated total energy: -0.40099 Ry per atom.

=====

No. 6
NaNpAu2: optimized geometry, GGA-PBE.

abc: 11.2260 11.2260 11.2260
angles: 15.19 15.19 15.19
Closest atoms and distances in Å follow each position.
Fractional positions:
1 Na 0.0000 0.0000 0.0000  2 Au 2.87, 6 Na 2.97
2 Np 0.5000 0.5000 0.5000  6 Np 2.97, 6 Au 3.18
3 Au 0.0863 0.0863 0.0863  1 Na 2.87, 6 Au 2.97, 3 Np 3.18
4 Au 0.9137 0.9137 0.9137  1 Na 2.87, 6 Au 2.97, 3 Np 3.18

Results
The space group is R-3m (166). As for the calculated total energy: -0.37777 Ry per atom.

=====

No. 7
NaNpAuO6: optimized geometry, GGA-PBE.

abc: 5.4340 5.4340 10.4675
angles: 90.00 90.00 120.00
Closest atoms and distances in Å follow each position.
Fractional positions:
1 Na 0.0000 0.0000 0.0000  6 O 2.46
2 Na 0.0000 0.0000 0.5000  6 O 2.46
3 Np 0.3333 0.6667 0.2500  6 O 2.05
4 Np 0.6667 0.3333 0.7500  6 O 2.05
5 Au 0.3333 0.6667 0.7500  6 O 2.09
6 Au 0.6667 0.3333 0.2500  6 O 2.09
7 O 0.0057 0.3620 0.1430  1 Np 2.05, 1 Au 2.09
8 O 0.0057 0.6437 0.3570  1 Np 2.05, 1 Au 2.09
9 O 0.3563 0.3620 0.3570  1 Np 2.05, 1 Au 2.09
10 O 0.3563 0.9943 0.1430  1 Np 2.05, 1 Au 2.09
11 O 0.3620 0.0057 0.6430  1 Np 2.05, 1 Au 2.09
12 O 0.3620 0.3563 0.8570  1 Np 2.05, 1 Au 2.09
13 O 0.6380 0.6437 0.1430  1 Np 2.05, 1 Au 2.09
14 O 0.6380 0.9943 0.3570  1 Np 2.05, 1 Au 2.09
15 O 0.6437 0.0057 0.8570  1 Np 2.05, 1 Au 2.09
16 O 0.6437 0.6380 0.6430  1 Np 2.05, 1 Au 2.09
17 O 0.9943 0.3563 0.6430  1 Np 2.05, 1 Au 2.09
18 O 0.9943 0.6380 0.8570  1 Np 2.05, 1 Au 2.09

Results
The space group is P-31c (163). The calculation puts the uncorrected formation energy at -1.413 eV/atom. As for the calculated total energy: -0.48999 Ry per atom.

=====

No. 8
NaNpAu2O8: optimized geometry, GGA-PBE.

abc: 6.1271 6.1271 6.1271
angles: 110.47 110.47 107.50
Closest atoms and distances in Å follow each position.
Fractional positions:
1 Na 0.0000 0.0000 0.0000  4 O 2.35
2 Np 0.7500 0.2500 0.5000  4 O 1.99
3 Au 0.2500 0.7500 0.5000  4 O 1.96
4 Au 0.5000 0.5000 0.0000  4 O 2.12
5 O 0.0327 0.3666 0.3339  1 Au 1.96
6 O 0.0327 0.6988 0.6661  1 Au 1.96
7 O 0.0793 0.2994 0.7800  1 Np 1.99, 1 Au 2.12
8 O 0.3012 0.9673 0.3339  1 Au 1.96
9 O 0.5194 0.2994 0.2200  1 Np 1.99, 1 Au 2.12
10 O 0.6334 0.9673 0.6661  1 Au 1.96
11 O 0.7006 0.4806 0.7800  1 Np 1.99, 1 Au 2.12
12 O 0.7006 0.9207 0.2200  1 Np 1.99, 1 Au 2.12

Results
The space group is I-4m2 (119). The calculation puts the uncorrected formation energy at -0.748 eV/atom. As for the calculated total energy: -0.42538 Ry per atom.

=====

No. 9
NaNpAuO5: optimized geometry, GGA-PBE.

abc: 5.8914 5.8914 8.1154
angles: 100.39 100.39 113.47
Closest atoms and distances in Å follow each position.
Fractional positions:
1 Na 0.1944 0.8056 0.7500  3 O 2.36-2.37
2 Na 0.8056 0.1944 0.2500  3 O 2.36-2.37
3 Np 0.5000 0.5000 0.0000  6 O 1.98-2.13
4 Np 0.5000 0.5000 0.5000  6 O 1.98-2.13
5 Au 0.1542 0.8458 0.2500  4 O 2.13-2.14
6 Au 0.8458 0.1542 0.7500  4 O 2.13-2.14
7 O 0.1678 0.1759 0.4177  1 Np 2.00, 1 Au 2.13
8 O 0.1759 0.1678 0.9177  1 Np 2.00, 1 Au 2.13
9 O 0.3046 0.6934 0.4392  1 Np 1.98, 1 Au 2.14
10 O 0.3066 0.6954 0.0608  1 Np 1.98, 1 Au 2.14
11 O 0.4341 0.5659 0.7500  2 Np 2.13, 1 Na 2.36
12 O 0.5659 0.4341 0.2500  2 Np 2.13, 1 Na 2.36
13 O 0.6934 0.3046 0.9392  1 Np 1.98, 1 Au 2.14
14 O 0.6954 0.3066 0.5608  1 Np 1.98, 1 Au 2.14
15 O 0.8241 0.8322 0.0823  1 Np 2.00, 1 Au 2.13
16 O 0.8322 0.8241 0.5823  1 Np 2.00, 1 Au 2.13

Results
The space group is C2/c (15). The calculation puts the uncorrected formation energy at -1.659 eV/atom. As for the calculated total energy: -0.51084 Ry per atom.

=====

No. 10
Na3Np2AuS6: optimized geometry, GGA-PBE.

abc: 9.0645 9.0645 7.9368
angles: 107.63 107.63 25.36
Closest atoms and distances in Å follow each position.
Fractional positions:
1 Na 0.0000 0.0000 0.0000  6 S 2.91-2.98
2 Na 0.3395 0.3395 0.6793  6 S 2.83-2.96
3 Na 0.6605 0.6605 0.3207  6 S 2.83-2.96
4 Np 0.3406 0.3406 0.1917  6 S 2.60-2.80
5 Np 0.6594 0.6594 0.8083  6 S 2.60-2.80
6 Au 0.0000 0.0000 0.5000  6 S 2.72-2.88
7 S 0.1709 0.1709 0.5922  2 Np 2.68, 3 Na 2.84-2.90, 1 Au 2.88
8 S 0.1746 0.1746 0.0556  3 Np 2.75-2.80, 3 Na 2.96-2.98
9 S 0.4942 0.4942 0.2632  1 Np 2.60, 2 Au 2.72, 1 Na 2.83
10 S 0.5058 0.5058 0.7368  1 Np 2.60, 2 Au 2.72, 1 Na 2.83
11 S 0.8254 0.8254 0.9444  3 Np 2.75-2.80, 3 Na 2.96-2.98
12 S 0.8291 0.8291 0.4078  2 Np 2.68, 3 Na 2.84-2.90, 1 Au 2.88

Results
The space group is C2/m (12). The calculation puts the uncorrected formation energy at -1.079 eV/atom. As for the calculated total energy: -0.43380 Ry per atom.

=====

No. 11
Na4Np3AuS8: optimized geometry, GGA-PBE.

abc: 7.9687 7.9687 8.0928
angles: 119.44 119.44 58.98
Closest atoms and distances in Å follow each position.
Fractional positions:
1 Na 0.0000 0.0000 0.0000  6 S 2.81-2.90
2 Na 0.0000 0.5000 0.0000  6 S 2.90-3.01
3 Na 0.5000 0.0000 0.0000  6 S 2.90-3.01
4 Na 0.5000 0.5000 0.0000  6 S 2.93-2.97
5 Np 0.0000 0.0000 0.5000  6 S 2.72-2.76
6 Np 0.0000 0.5000 0.5000  6 S 2.70-2.74
7 Np 0.5000 0.0000 0.5000  6 S 2.70-2.74
8 Au 0.5000 0.5000 0.5000  6 S 2.75-2.93
9 S 0.2353 0.7408 0.7226  2 Np 2.72-2.73, 1 Au 2.75, 3 Na 2.90-3.01
10 S 0.2406 0.2406 0.7273  3 Np 2.74-2.76, 3 Na 2.90-2.97
11 S 0.2441 0.2441 0.2656  2 Np 2.70, 3 Na 2.81-2.95, 1 Au 2.93
12 S 0.2592 0.7647 0.2774  2 Np 2.72-2.73, 1 Au 2.75, 3 Na 2.90-3.01
13 S 0.7408 0.2353 0.7226  2 Np 2.72-2.73, 1 Au 2.75, 3 Na 2.90-3.01
14 S 0.7559 0.7559 0.7344  2 Np 2.70, 3 Na 2.81-2.95, 1 Au 2.93
15 S 0.7594 0.7594 0.2727  3 Np 2.74-2.76, 3 Na 2.90-2.97
16 S 0.7647 0.2592 0.2774  2 Np 2.72-2.73, 1 Au 2.75, 3 Na 2.90-3.01

Results
The space group is C2/m (12). The calculation puts the uncorrected formation energy at -1.145 eV/atom. As for the calculated total energy: -0.45343 Ry per atom.

=====

No. 12
Na2NpAuS4: optimized geometry, GGA-PBE.

abc: 6.0005 6.0005 6.0005
angles: 107.54 107.54 113.41
Closest atoms and distances in Å follow each position.
Fractional positions:
1 Na 0.0000 0.5000 0.5000  8 S 3.03-3.08, 2 Na 3.29
2 Na 0.5000 0.0000 0.5000  8 S 3.03-3.08, 2 Na 3.29
3 Np 0.0000 0.0000 0.0000  4 S 2.58
4 Au 0.5000 0.5000 0.0000  4 S 2.52
5 S 0.0633 0.0633 0.6118  1 Au 2.52, 1 Np 2.58
6 S 0.4514 0.4514 0.3882  1 Au 2.52, 1 Np 2.58
7 S 0.5486 0.9367 0.0000  1 Au 2.52, 1 Np 2.58
8 S 0.9367 0.5486 0.0000  1 Au 2.52, 1 Np 2.58

Results
The space group is I-42m (121). The calculation puts the uncorrected formation energy at -0.760 eV/atom. As for the calculated total energy: -0.38075 Ry per atom.